Compound: Tb4TmScS8
Source: the Alexandria database
Functional: PBE
Structure: relaxed

abc: 7.976 7.976 7.976
angles: 60.11 60.11 60.11
Sites, in units of the cell vectors:
Tb  0.000  0.000  0.000
Tb  0.379  0.379  0.865
Tb  0.379  0.865  0.379
Tb  0.865  0.379  0.379
Tm  0.378  0.378  0.378
Sc  0.751  0.751  0.751
S  0.133  0.620  0.620
S  0.134  0.134  0.134
S  0.137  0.137  0.598
S  0.137  0.598  0.137
S  0.598  0.137  0.137
S  0.620  0.133  0.620
S  0.620  0.620  0.133
S  0.624  0.624  0.624

- Energy relative to the elements, uncorrected: -1.9207 eV/atom
- E_tot: -89.23 eV for the cell shown